1.
VASP calculation (PBE-GGA) on La8Pm3Y3 after structural relaxation.

Structure (POSCAR):
```
La8Pm3Y3
1.0
-2.872 5.559 7.714
2.872 -5.559 7.714
2.872 5.559 -7.714
La Pm Y
8 3 3
direct
0.055 0.393 0.662
0.074 0.230 0.844
0.268 0.607 0.662
0.387 0.230 0.156
0.613 0.770 0.844
0.732 0.393 0.338
0.926 0.770 0.156
0.945 0.607 0.338
0.000 0.000 0.000
0.302 0.000 0.302
0.698 0.000 0.698
0.323 0.823 0.500
0.500 0.500 0.000
0.677 0.177 0.500
```

Computed properties:
- ΔE_f: 0.092 eV/atom
- Uncorrected energy: -5.126 eV per atom
- Crystal system: orthorhombic


2.
VASP calculation (PBE-GGA) on Sc4ZnNi2Ir after structural relaxation.

Structure (POSCAR):
```
Sc4ZnNi2Ir
1.0
2.283 1.318 7.501
-2.283 1.318 7.501
0.000 -2.636 7.501
Sc Zn Ni Ir
4 1 2 1
direct
0.122 0.122 0.122
0.373 0.373 0.373
0.627 0.627 0.627
0.878 0.878 0.878
0.500 0.500 0.500
0.250 0.250 0.250
0.750 0.750 0.750
0.000 0.000 0.000
```

Computed properties:
- ΔE_f: -0.615 eV/atom
- Uncorrected energy: -6.493 eV per atom
- Crystal system: trigonal


3.
VASP calculation (PBE-GGA) on CeNd3Th3Se8 after structural relaxation.

Structure (POSCAR):
```
CeNd3Th3Se8
1.0
4.187 2.417 6.896
-4.187 2.417 6.896
0.000 -4.835 6.896
Ce Nd Th Se
1 3 3 8
direct
0.000 0.000 0.000
0.000 0.000 0.500
0.000 0.500 0.000
0.500 0.000 0.000
0.000 0.500 0.500
0.500 0.000 0.500
0.500 0.500 0.000
0.250 0.250 0.250
0.256 0.256 0.743
0.256 0.743 0.256
0.257 0.744 0.744
0.743 0.256 0.256
0.744 0.257 0.744
0.744 0.744 0.257
0.750 0.750 0.750
```

Computed properties:
- Formation energy without anion corrections: -1730.3 meV/atom
- Uncorrected energy: -6.422 eV per atom
- Crystal system: trigonal


4.
VASP calculation (PBE-GGA) on KMo2Cl after structural relaxation.

Structure (POSCAR):
```
KMo2Cl
1.0
3.264 0.000 0.000
0.000 7.115 0.000
-0.050 0.000 4.619
K Mo Cl
1 2 1
direct
0.000 0.000 0.000
0.257 0.500 0.177
0.743 0.500 0.823
0.500 0.000 0.500
```

Computed properties:
- Formation energy without anion corrections: 516.4 meV/atom
- Polymorph energy (0 for the lowest one): 438.8 meV per atom
- Uncorrected energy: -5.635 eV per atom
- Crystal system: monoclinic


5.
VASP calculation (PBE-GGA) on SrNiPd2Pb after structural relaxation.

Structure (POSCAR):
```
SrNiPd2Pb
1.0
5.099 0.000 0.000
0.000 5.099 0.000
0.000 0.000 6.204
Sr Ni Pd Pb
1 1 2 1
direct
0.000 0.000 0.000
0.500 0.500 0.500
0.000 0.500 0.000
0.500 0.000 0.000
0.000 0.000 0.500
```

Computed properties:
- ΔE_f: 1.332 eV/atom
- Uncorrected energy: -2.980 eV per atom
- Crystal system: tetragonal


6.
VASP calculation (PBE-GGA) on LiAlRu2 after structural relaxation.

Structure (POSCAR):
```
LiAlRu2
1.0
2.954 0.000 0.000
0.000 2.954 0.000
0.000 0.000 6.032
Li Al Ru
1 1 2
direct
0.000 0.000 0.000
0.500 0.500 0.763
0.000 0.000 0.498
0.500 0.500 0.238
```

Computed properties:
- ΔE_f: -0.174 eV/atom
- Uncorrected energy: -6.226 eV per atom
- Crystal system: tetragonal


7.
VASP calculation (PBE-GGA) on TlGeCl3 after structural relaxation.

Structure (POSCAR):
```
TlGeCl3
1.0
5.364 0.000 0.000
0.000 3.628 4.260
0.000 -3.628 4.260
Tl Ge Cl
1 1 3
direct
0.000 0.000 0.000
0.500 0.600 0.600
0.000 0.634 0.634
0.500 0.170 0.655
0.500 0.655 0.170
```

Computed properties:
- Formation energy without anion corrections: -883.6 meV/atom
- Uncorrected energy: -3.388 eV per atom
- Crystal system: orthorhombic


8.
VASP calculation (PBE-GGA) on NaCdInHg6 after structural relaxation.

Structure (POSCAR):
```
NaCdInHg6
1.0
2.826 -4.906 0.000
2.826 4.906 0.000
-0.008 0.000 10.308
Na Cd In Hg
1 1 1 6
direct
0.000 0.000 0.000
0.666 0.334 0.500
0.334 0.666 0.500
0.335 0.005 0.245
0.335 0.330 0.755
0.670 0.665 0.245
0.671 0.006 0.755
0.994 0.329 0.245
0.995 0.665 0.755
```

Computed properties:
- ΔE_f: 0.001 eV/atom
- Uncorrected energy: -0.753 eV per atom
- Crystal system: monoclinic